# 1
The following is a DFT calculation (PBE) of crystalline SmHo2CdHg4 at its relaxed geometry.

Summary:
Formation enthalpy at 0 K, eV/atom: -0.412
Spin magnetization, μB/f.u.: 0.000
SG: R-3m

Geometry as extended XYZ:
```
8
Lattice="-1.002 4.693 1.843 -3.509 0.610 3.706 4.742 0.710 7.937" Properties=species:S:1:pos:R:3 pbc="T T T"
Hg -2.266 3.410 4.423
Hg 2.431 1.101 5.685
Hg 2.497 2.603 9.065
Hg -2.201 4.912 7.802
Sm 0.000 0.000 0.000
Cd 0.115 3.006 6.744
Ho 0.015 4.536 9.962
Ho 0.215 1.477 3.525
```

=====

# 2
The following is a DFT calculation (PBE) of crystalline PrEr4Tc at its relaxed geometry.

Summary:
Formation enthalpy at 0 K, eV/atom: -0.025
Spin magnetization, μB/f.u.: 0.000
SG: Pnma

Geometry as extended XYZ:
```
24
Lattice="-3.177 -1.284 -1.511 3.237 -8.160 0.129 -7.775 -2.789 18.713" Properties=species:S:1:pos:R:3 pbc="T T T"
Er -1.526 -4.072 -0.292
Er -1.279 -0.571 0.853
Er -4.579 -2.923 9.790
Er -6.436 -11.662 16.477
Er -2.526 -5.679 7.814
Er -0.875 -9.347 2.821
Er -7.927 -6.226 14.994
Er -4.517 -6.713 12.879
Er -6.840 -2.886 14.509
Er -3.135 -9.310 7.541
Er -3.198 -5.519 4.451
Er 0.213 -6.006 2.336
Er -4.607 -9.696 10.963
Er -6.189 -8.160 17.623
Er -5.189 -6.554 9.516
Er -3.108 -2.537 6.367
Tc -2.647 -7.872 9.933
Tc -0.275 -7.303 -0.176
Tc -7.439 -4.930 17.506
Tc -5.067 -4.361 7.397
Pr -1.371 -3.068 3.170
Pr -6.993 -4.737 11.765
Pr -6.343 -9.164 14.161
Pr -0.722 -7.496 5.566
```

=====

# 3
The following is a DFT calculation (PBE) of crystalline Sc2PPb at its relaxed geometry.

Summary:
Formation enthalpy at 0 K, eV/atom: -0.499
Spin magnetization, μB/f.u.: 0.000
E above lowest polymorph, eV per atom: 0.4879
SG: C2/m

Geometry as extended XYZ:
```
4
Lattice="-4.990 0.701 0.591 -0.186 -2.733 -4.271 -0.867 -3.121 1.347" Properties=species:S:1:pos:R:3 pbc="T T T"
Pb -3.022 -2.576 -1.166
Sc -0.093 -1.366 -2.136
Sc -2.495 0.351 0.296
P -0.434 -1.560 0.674
```

=====

# 4
The following is a DFT calculation (PBE) of crystalline LaAlTl2 at its relaxed geometry.

Summary:
Formation enthalpy at 0 K, eV/atom: -0.182
Spin magnetization, μB/f.u.: 0.000
E above lowest polymorph, eV per atom: 0.0938
SG: I4/mmm

Geometry as extended XYZ:
```
4
Lattice="5.927 -0.022 -0.041 2.195 5.506 0.041 -4.040 -2.772 3.335" Properties=species:S:1:pos:R:3 pbc="T T T"
Al 2.974 -0.027 1.647
Tl 0.000 0.000 0.000
Tl 4.061 2.742 0.000
La 1.108 2.737 1.688
```